Density functional theory data (PBE) for a relaxed structure of ZrIrW2.

Computed properties:
spin magnetization: 0.00 Bohr magnetons per cell
energy above the most stable polymorph in this dataset: 1.093 eV per formula unit
D(E_F): 2.2 states/eV per cell
ΔH_f (0 K): 0.145 eV per atom
electronic total energy: -128.209 eV/cell

```
data_ZrIrW2
_cell_length_a 2.8510
_cell_length_b 2.8510
_cell_length_c 29.1495
_cell_angle_alpha 90.00
_cell_angle_beta 90.00
_cell_angle_gamma 120.00
_space_group_name_H-M_alt 'R 3 m'
_space_group_IT_number 160
_space_group_name_Hall 'R 3 -2"'
loop_
_atom_site_label
_atom_site_type_symbol
_atom_site_fract_x
_atom_site_fract_y
_atom_site_fract_z
_atom_site_occupancy
Zr1 Zr 0.0000 0.0000 0.0000 1
Ir1 Ir 0.0000 0.0000 0.7528 1
W1 W 0.0000 0.0000 0.2420 1
W2 W 0.0000 0.0000 0.4923 1
```